Record 1
An optimized crystal structure of KAlNi2, computed with GGA-PBEsol.

It has space group Immm (No. 71), with a = 2.729 Å, b = 5.484 Å, c = 9.302 Å, α = 90.00°, β = 90.00° and γ = 90.00°. Symmetry generates all atoms from K at (0.000, 0.000, 0.000), Al at (0.000, 0.000, 0.500) and Ni at (0.000, 0.500, 0.201).

The electronic total energy is -0.141 hartree per atom. Its density of states at the Fermi level is 4.30 states/eV/cell. The value obtained for the formation enthalpy at 0 K is 0.55 eV/atom.

Record 2
An optimized crystal structure of KAlNi2, computed with GGA-PBEsol.

It has space group Imm2 (No. 44), with a = 2.633 Å, b = 4.856 Å, c = 10.059 Å, α = 90.00°, β = 90.00° and γ = 90.00°. Symmetry generates all atoms from K at (0.000, 0.000, 0.000), Al at (0.000, 0.500, 0.201), Ni at (0.000, 0.000, 0.493) and Ni at (0.000, 0.500, 0.790).

The electronic total energy is -0.145 hartree per atom. Its density of states at the Fermi level is 5.82 states/eV/cell. The value obtained for the formation enthalpy at 0 K is 0.43 eV/atom.

Record 3
An optimized crystal structure of KAlNi2, computed with GGA-PBEsol.

It has space group P4mm (No. 99), with a = 2.957 Å, b = 2.957 Å, c = 7.889 Å, α = 90.00°, β = 90.00° and γ = 90.00°. Symmetry generates all atoms from K at (0.000, 0.000, 0.000), Al at (0.500, 0.500, 0.626), Ni at (0.000, 0.000, 0.461) and Ni at (0.500, 0.500, 0.310).

The electronic total energy is -0.151 hartree per atom. Its density of states at the Fermi level is 5.16 states/eV/cell. The value obtained for the formation enthalpy at 0 K is 0.28 eV/atom.

What did the second record say?
An optimized crystal structure of KAlNi2, computed with GGA-PBEsol.

It has space group Imm2 (No. 44), with a = 2.633 Å, b = 4.856 Å, c = 10.059 Å, α = 90.00°, β = 90.00° and γ = 90.00°. Symmetry generates all atoms from K at (0.000, 0.000, 0.000), Al at (0.000, 0.500, 0.201), Ni at (0.000, 0.000, 0.493) and Ni at (0.000, 0.500, 0.790).

The electronic total energy is -0.145 hartree per atom. Its density of states at the Fermi level is 5.82 states/eV/cell. The value obtained for the formation enthalpy at 0 K is 0.43 eV/atom.

Question: Number 1 is which compound?
Answer: KAlNi2

What did the second record say?
An optimized crystal structure of KAlNi2, computed with GGA-PBEsol.

It has space group Imm2 (No. 44), with a = 2.633 Å, b = 4.856 Å, c = 10.059 Å, α = 90.00°, β = 90.00° and γ = 90.00°. Symmetry generates all atoms from K at (0.000, 0.000, 0.000), Al at (0.000, 0.500, 0.201), Ni at (0.000, 0.000, 0.493) and Ni at (0.000, 0.500, 0.790).

The electronic total energy is -0.145 hartree per atom. Its density of states at the Fermi level is 5.82 states/eV/cell. The value obtained for the formation enthalpy at 0 K is 0.43 eV/atom.